Record 1
DFT (meta-GGA SCAN) results for a PBEsol-optimized structure of Tl2SbMo. Values from VASP.

- Energy relative to the elements, uncorrected: 0.711 eV per atom
- Calculated total energy: -53.50 eV/atom

Cell and atoms, written as Quantum ESPRESSO input:
```
&SYSTEM
  ibrav = 0, nat = 8, ntyp = 3
/
ATOMIC_SPECIES
Tl 204.38 Tl.upf
Sb 121.76 Sb.upf
Mo 95.94 Mo.upf
ATOMIC_POSITIONS crystal
Tl 0.250 0.250 0.000
Tl 0.250 0.750 0.000
Tl 0.750 0.250 0.000
Tl 0.750 0.750 0.000
Sb 0.000 0.000 0.500
Sb 0.500 0.500 0.500
Mo 0.000 0.500 0.500
Mo 0.500 0.000 0.500
CELL_PARAMETERS angstrom
5.865 0.000 0.000
0.000 10.779 0.000
-1.990 0.000 2.834
```

Record 2
DFT (meta-GGA SCAN) results for a PBEsol-optimized structure of InAu3Cl. Values from VASP.

- Energy relative to the elements, uncorrected: 0.635 eV per atom
- Calculated total energy: -49.13 eV/atom

Cell and atoms, written as Quantum ESPRESSO input:
```
&SYSTEM
  ibrav = 0, nat = 5, ntyp = 3
/
ATOMIC_SPECIES
In 114.82 In.upf
Au 196.97 Au.upf
Cl 35.45 Cl.upf
ATOMIC_POSITIONS crystal
In 0.000 0.000 0.000
Au 0.000 0.000 0.500
Au 0.000 0.500 0.000
Au 0.500 0.000 0.000
Cl 0.500 0.500 0.500
CELL_PARAMETERS angstrom
5.109 0.000 0.000
0.000 5.109 0.000
0.000 0.000 5.109
```

Record 3
DFT (meta-GGA SCAN) results for a PBEsol-optimized structure of SrPWCl2. Values from VASP.

- Energy relative to the elements, uncorrected: 0.635 eV per atom
- Calculated total energy: -23.03 eV/atom

Cell and atoms, written as Quantum ESPRESSO input:
```
&SYSTEM
  ibrav = 0, nat = 5, ntyp = 4
/
ATOMIC_SPECIES
Sr 87.62 Sr.upf
P 30.97 P.upf
W 183.84 W.upf
Cl 35.45 Cl.upf
ATOMIC_POSITIONS crystal
Sr 0.000 0.000 0.000
P 0.000 0.000 0.500
W 0.500 0.500 0.500
Cl 0.000 0.500 0.000
Cl 0.500 0.000 0.000
CELL_PARAMETERS angstrom
5.193 0.000 0.000
0.000 5.193 0.000
0.000 0.000 6.117
```

Record 4
DFT (meta-GGA SCAN) results for a PBEsol-optimized structure of IrSe2I. Values from VASP.

- Energy relative to the elements, uncorrected: 0.442 eV per atom
- Calculated total energy: -36.56 eV/atom

Cell and atoms, written as Quantum ESPRESSO input:
```
&SYSTEM
  ibrav = 0, nat = 12, ntyp = 3
/
ATOMIC_SPECIES
Ir 192.22 Ir.upf
Se 78.96 Se.upf
I 126.90 I.upf
ATOMIC_POSITIONS crystal
Ir 0.000 0.000 0.000
Ir 0.333 0.667 0.667
Ir 0.667 0.333 0.333
Se 0.000 0.000 0.066
Se 0.000 0.000 0.934
Se 0.333 0.667 0.601
Se 0.333 0.667 0.733
Se 0.667 0.333 0.267
Se 0.667 0.333 0.399
I 0.000 0.000 0.500
I 0.333 0.667 0.167
I 0.667 0.333 0.833
CELL_PARAMETERS angstrom
2.962 0.000 0.000
-1.481 2.565 0.000
0.000 0.000 35.944
```

Record 5
DFT (meta-GGA SCAN) results for a PBEsol-optimized structure of Fe3OsF. Values from VASP.

- Energy relative to the elements, uncorrected: 0.328 eV per atom
- Calculated total energy: -25.63 eV/atom

Cell and atoms, written as Quantum ESPRESSO input:
```
&SYSTEM
  ibrav = 0, nat = 5, ntyp = 3
/
ATOMIC_SPECIES
Fe 55.84 Fe.upf
Os 190.23 Os.upf
F 19.00 F.upf
ATOMIC_POSITIONS crystal
Fe 0.000 0.000 0.500
Fe 0.000 0.500 0.000
Fe 0.500 0.000 0.000
Os 0.500 0.500 0.500
F 0.000 0.000 0.000
CELL_PARAMETERS angstrom
3.905 0.000 0.000
0.000 3.905 0.000
0.000 0.000 3.905
```

Record 6
DFT (meta-GGA SCAN) results for a PBEsol-optimized structure of Mg2AgMo. Values from VASP.

- Calculated total energy: -18.82 eV/atom

Cell and atoms, written as Quantum ESPRESSO input:
```
&SYSTEM
  ibrav = 0, nat = 4, ntyp = 3
/
ATOMIC_SPECIES
Mg 24.30 Mg.upf
Ag 107.87 Ag.upf
Mo 95.94 Mo.upf
ATOMIC_POSITIONS crystal
Mg 0.000 0.000 0.000
Mg 0.500 0.500 0.288
Ag 0.500 0.500 0.765
Mo 0.000 0.000 0.528
CELL_PARAMETERS angstrom
2.789 0.000 0.000
0.000 2.789 0.000
0.000 0.000 9.001
```

Record 7
DFT (meta-GGA SCAN) results for a PBEsol-optimized structure of ZnCdO2. Values from VASP.

- Energy relative to the elements, uncorrected: -1.329 eV per atom
- Calculated total energy: -15.43 eV/atom

Cell and atoms, written as Quantum ESPRESSO input:
```
&SYSTEM
  ibrav = 0, nat = 4, ntyp = 3
/
ATOMIC_SPECIES
Zn 65.41 Zn.upf
Cd 112.41 Cd.upf
O 16.00 O.upf
ATOMIC_POSITIONS crystal
Zn 0.000 0.000 0.000
Cd 0.333 0.667 0.509
O 0.000 0.000 0.344
O 0.333 0.667 0.899
CELL_PARAMETERS angstrom
3.379 0.000 0.000
-1.689 2.926 0.000
0.000 0.000 5.636
```

Record 8
DFT (meta-GGA SCAN) results for a PBEsol-optimized structure of Sr2AgMoS. Values from VASP.

- Energy relative to the elements, uncorrected: 0.388 eV per atom
- Calculated total energy: -23.70 eV/atom

Cell and atoms, written as Quantum ESPRESSO input:
```
&SYSTEM
  ibrav = 0, nat = 5, ntyp = 4
/
ATOMIC_SPECIES
Sr 87.62 Sr.upf
Ag 107.87 Ag.upf
Mo 95.94 Mo.upf
S 32.06 S.upf
ATOMIC_POSITIONS crystal
Sr 0.000 0.500 0.000
Sr 0.500 0.000 0.000
Ag 0.000 0.000 0.000
Mo 0.000 0.000 0.500
S 0.500 0.500 0.500
CELL_PARAMETERS angstrom
5.845 0.000 0.000
0.000 5.845 0.000
0.000 0.000 4.883
```

Record 9
DFT (meta-GGA SCAN) results for a PBEsol-optimized structure of Li2CoOs. Values from VASP.

- Calculated total energy: -22.71 eV/atom

Cell and atoms, written as Quantum ESPRESSO input:
```
&SYSTEM
  ibrav = 0, nat = 16, ntyp = 3
/
ATOMIC_SPECIES
Li 6.94 Li.upf
Co 58.93 Co.upf
Os 190.23 Os.upf
ATOMIC_POSITIONS crystal
Li 0.230 0.250 0.125
Li 0.250 0.730 0.375
Li 0.250 0.770 0.875
Li 0.270 0.250 0.625
Li 0.730 0.750 0.625
Li 0.750 0.230 0.875
Li 0.750 0.270 0.375
Li 0.770 0.750 0.125
Co 0.000 0.000 0.000
Co 0.000 0.500 0.250
Co 0.500 0.000 0.750
Co 0.500 0.500 0.500
Os 0.000 0.000 0.500
Os 0.000 0.500 0.750
Os 0.500 0.000 0.250
Os 0.500 0.500 0.000
CELL_PARAMETERS angstrom
6.417 0.000 0.000
0.000 6.417 0.000
0.000 0.000 4.634
```

Record 10
DFT (meta-GGA SCAN) results for a PBEsol-optimized structure of Ni2OsPb. Values from VASP.

- Calculated total energy: -44.16 eV/atom

Cell and atoms, written as Quantum ESPRESSO input:
```
&SYSTEM
  ibrav = 0, nat = 12, ntyp = 3
/
ATOMIC_SPECIES
Ni 58.69 Ni.upf
Os 190.23 Os.upf
Pb 207.20 Pb.upf
ATOMIC_POSITIONS crystal
Ni 0.000 0.000 0.000
Ni 0.000 0.000 0.262
Ni 0.333 0.667 0.667
Ni 0.333 0.667 0.928
Ni 0.667 0.333 0.333
Ni 0.667 0.333 0.595
Os 0.000 0.000 0.521
Os 0.333 0.667 0.188
Os 0.667 0.333 0.854
Pb 0.000 0.000 0.754
Pb 0.333 0.667 0.421
Pb 0.667 0.333 0.088
CELL_PARAMETERS angstrom
2.902 0.000 0.000
-1.451 2.513 0.000
0.000 0.000 24.706
```

Record 11
DFT (meta-GGA SCAN) results for a PBEsol-optimized structure of ScBe2Au. Values from VASP.

- Calculated total energy: -23.40 eV/atom

Cell and atoms, written as Quantum ESPRESSO input:
```
&SYSTEM
  ibrav = 0, nat = 8, ntyp = 3
/
ATOMIC_SPECIES
Sc 44.96 Sc.upf
Be 9.01 Be.upf
Au 196.97 Au.upf
ATOMIC_POSITIONS crystal
Sc 0.000 0.000 0.000
Sc 0.000 0.500 0.500
Be 0.000 0.000 0.722
Be 0.000 0.500 0.222
Be 0.500 0.000 0.607
Be 0.500 0.500 0.107
Au 0.500 0.000 0.304
Au 0.500 0.500 0.804
CELL_PARAMETERS angstrom
3.684 0.000 0.000
0.000 3.193 0.000
0.000 0.000 9.225
```

Record 12
DFT (meta-GGA SCAN) results for a PBEsol-optimized structure of CsTmP2O7. Values from VASP.

- Energy relative to the elements, uncorrected: -3.005 eV per atom
- Calculated total energy: -17.01 eV/atom

Cell and atoms, written as Quantum ESPRESSO input:
```
&SYSTEM
  ibrav = 0, nat = 44, ntyp = 4
/
ATOMIC_SPECIES
Cs 132.91 Cs.upf
Tm 168.93 Tm.upf
P 30.97 P.upf
O 16.00 O.upf
ATOMIC_POSITIONS crystal
Cs 0.194 0.187 0.055
Cs 0.194 0.313 0.555
Cs 0.806 0.687 0.445
Cs 0.806 0.813 0.945
Tm 0.237 0.599 0.255
Tm 0.237 0.901 0.755
Tm 0.763 0.099 0.245
Tm 0.763 0.401 0.745
P 0.131 0.597 0.824
P 0.131 0.903 0.324
P 0.426 0.630 0.684
P 0.426 0.870 0.184
P 0.574 0.130 0.816
P 0.574 0.370 0.316
P 0.869 0.097 0.676
P 0.869 0.403 0.176
O 0.000 0.002 0.771
O 0.000 0.498 0.271
O 0.000 0.502 0.729
O 0.000 0.998 0.229
O 0.085 0.728 0.760
O 0.085 0.772 0.260
O 0.152 0.587 0.000
O 0.152 0.913 0.500
O 0.320 0.559 0.795
O 0.320 0.941 0.295
O 0.325 0.606 0.514
O 0.325 0.894 0.014
O 0.392 0.070 0.772
O 0.392 0.430 0.272
O 0.438 0.733 0.230
O 0.438 0.767 0.730
O 0.562 0.233 0.270
O 0.562 0.267 0.770
O 0.608 0.570 0.728
O 0.608 0.930 0.228
O 0.675 0.106 0.986
O 0.675 0.394 0.486
O 0.680 0.059 0.705
O 0.680 0.441 0.205
O 0.848 0.087 0.500
O 0.848 0.413 0.000
O 0.915 0.228 0.740
O 0.915 0.272 0.240
CELL_PARAMETERS angstrom
7.879 0.000 0.000
0.000 10.786 0.000
-2.235 0.000 8.450
```